# 1
Below is crystalline Y2InTe at its relaxed geometry, with properties calculated at the GGA-PBE level.

Cell and atoms, written as POSCAR:
```
Y2InTe
1.0
4.057 0.000 0.000
0.000 4.719 0.000
0.000 0.000 6.220
Y In Te
2 1 1
Cartesian
0.000 0.000 0.000
2.028 2.360 3.110
0.000 0.000 3.110
2.028 2.360 0.000
```

Values from the calculation:
* V: 119.1 Å³/f.u.
* uncorrected formation energy: -829 meV per atom
* N(E_F): 0.556 states/eV per atom

# 2
Below is crystalline TmMnPb2S5 at its relaxed geometry, with properties calculated at the GGA-PBE level.

Cell and atoms, written as POSCAR:
```
TmMnPb2S5
1.0
1.969 -8.760 0.000
1.969 8.760 0.000
0.000 0.000 12.591
Tm Mn Pb S
2 2 4 10
Cartesian
1.969 5.264 6.295
1.969 -5.264 0.000
1.969 0.965 11.384
1.969 -0.965 5.088
1.969 6.638 10.044
1.969 6.479 1.818
1.969 -6.479 8.113
1.969 -6.638 3.748
1.969 8.034 6.253
1.969 3.591 1.836
1.969 3.180 10.736
1.969 2.619 6.103
1.969 0.106 3.125
1.969 -0.106 9.420
1.969 -2.619 12.399
1.969 -3.180 4.441
1.969 -3.591 8.131
1.969 -8.034 12.549
```

Values from the calculation:
* V: 217.2 Å³/f.u.
* uncorrected formation energy: -910 meV per atom
* N(E_F): 0.365 states/eV per atom

Copy entry 1 word for word.
Below is crystalline Y2InTe at its relaxed geometry, with properties calculated at the GGA-PBE level.

Cell and atoms, written as POSCAR:
```
Y2InTe
1.0
4.057 0.000 0.000
0.000 4.719 0.000
0.000 0.000 6.220
Y In Te
2 1 1
Cartesian
0.000 0.000 0.000
2.028 2.360 3.110
0.000 0.000 3.110
2.028 2.360 0.000
```

Values from the calculation:
* V: 119.1 Å³/f.u.
* uncorrected formation energy: -829 meV per atom
* N(E_F): 0.556 states/eV per atom

Q: Look up the V of the first one.
A: 119.1 Å³/f.u.